1.
VASP calculation (PBE-GGA) on a geometry-optimized SmErSc2Tl4 structure.

abc: 5.2528 5.2528 9.1197
angles: 73.26 73.26 60.00
With the nearest neighbours (Å) after each atom.
Element x y z (fractional)
Tl 0.8736 0.8736 0.3793  4 Sc 3.18-3.23, 3 Er 3.21, 1 Sm 3.26
Tl 0.1264 0.1264 0.6207  4 Sc 3.18-3.23, 3 Er 3.21, 1 Sm 3.26
Tl 0.6235 0.6235 0.1296  1 Er 3.19, 4 Sc 3.21-3.27, 3 Sm 3.23
Tl 0.3765 0.3765 0.8704  1 Er 3.19, 4 Sc 3.21-3.27, 3 Sm 3.23
Sm 0.0000 0.0000 0.0000  8 Tl 3.23-3.26
Sc 0.2496 0.2496 0.2511  8 Tl 3.18-3.27
Sc 0.7504 0.7504 0.7489  8 Tl 3.18-3.27
Er 0.5000 0.5000 0.5000  8 Tl 3.19-3.21

Output
As for the space group: No. 166. For the size of the total moment, the calculation gives 0.0 μB/cell. The energy of formation from the pure elements comes out at -290 meV/atom. As for the energy: -33.73 eV per formula unit.


2.
VASP calculation (PBE-GGA) on a geometry-optimized SmEr2ScTl2 structure.

abc: 4.9678 6.8868 9.7619
angles: 90.00 90.00 90.00
With the nearest neighbours (Å) after each atom.
Element x y z (fractional)
Sm 0.0000 0.4548 0.5479  5 Tl 3.21-3.38, 2 Sc 3.50, 2 Sm 3.57
Sm 0.0000 0.9548 0.4521  5 Tl 3.21-3.38, 2 Sc 3.50, 2 Sm 3.57
Tl 0.0000 0.2934 0.8655  2 Sc 3.10, 4 Er 3.12-3.18, 1 Sm 3.29
Tl 0.0000 0.7934 0.1345  2 Sc 3.10, 4 Er 3.12-3.18, 1 Sm 3.29
Tl 0.5000 0.2296 0.3751  2 Sc 3.10-3.19, 3 Er 3.20-3.41, 4 Sm 3.21-3.38
Tl 0.5000 0.7296 0.6249  2 Sc 3.10-3.19, 3 Er 3.20-3.41, 4 Sm 3.21-3.38
Sc 0.5000 0.6673 0.3015  4 Tl 3.10-3.19
Sc 0.5000 0.1673 0.6985  4 Tl 3.10-3.19
Er 0.0000 0.3466 0.1864  4 Tl 3.12-3.20, 2 Er 3.47
Er 0.5000 0.0539 0.0489  5 Tl 3.18-3.48, 2 Er 3.47, 1 Sc 3.51
Er 0.0000 0.8466 0.8136  4 Tl 3.12-3.20, 2 Er 3.47
Er 0.5000 0.5539 0.9511  5 Tl 3.18-3.48, 2 Er 3.47, 1 Sc 3.51

Output
As for the space group: No. 26. For the size of the total moment, the calculation gives 0.0 μB/cell. The energy of formation from the pure elements comes out at -256 meV/atom. As for the energy: -26.44 eV per formula unit.


3.
VASP calculation (PBE-GGA) on a geometry-optimized SmEr2Tm6Sc structure.

abc: 9.2618 8.6055 8.6055
angles: 117.20 93.38 93.38
With the nearest neighbours (Å) after each atom.
Element x y z (fractional)
Tm 0.6878 0.0072 0.5625  4 Tm 3.19-3.56, 2 Er 3.31-3.54, 1 Sc 3.34, 1 Sm 3.49
Tm 0.8122 0.4375 0.9928  4 Tm 3.19-3.56, 2 Er 3.31-3.54, 1 Sc 3.34, 1 Sm 3.49
Tm 0.0572 0.1276 0.7536  7 Tm 3.36-3.61, 1 Er 3.45, 1 Sm 3.60
Tm 0.6142 0.4906 0.7086  3 Er 3.18-3.34, 4 Tm 3.19-3.39, 2 Sc 3.30-3.41
Tm 0.1142 0.7086 0.4906  3 Er 3.18-3.34, 4 Tm 3.19-3.39, 2 Sc 3.30-3.41
Tm 0.1878 0.5625 0.0072  4 Tm 3.19-3.56, 2 Er 3.31-3.54, 1 Sc 3.34, 1 Sm 3.49
Tm 0.3122 0.9928 0.4375  4 Tm 3.19-3.56, 2 Er 3.31-3.54, 1 Sc 3.34, 1 Sm 3.49
Tm 0.8858 0.2914 0.5094  3 Er 3.18-3.34, 4 Tm 3.19-3.39, 2 Sc 3.30-3.41
Tm 0.3858 0.5094 0.2914  3 Er 3.18-3.34, 4 Tm 3.19-3.39, 2 Sc 3.30-3.41
Tm 0.9428 0.8724 0.2464  7 Tm 3.36-3.61, 1 Er 3.45, 1 Sm 3.60
Tm 0.4428 0.2464 0.8724  7 Tm 3.36-3.61, 1 Er 3.45, 1 Sm 3.60
Tm 0.5572 0.7536 0.1276  7 Tm 3.36-3.61, 1 Er 3.45, 1 Sm 3.60
Sc 0.7500 0.5864 0.4136  6 Tm 3.30-3.41, 2 Er 3.40
Sc 0.2500 0.4136 0.5864  6 Tm 3.30-3.41, 2 Er 3.40
Er 0.0495 0.3078 0.2022  6 Tm 3.18-3.54, 2 Sm 3.31-3.41, 1 Sc 3.40
Er 0.4505 0.7978 0.6922  6 Tm 3.18-3.54, 2 Sm 3.31-3.41, 1 Sc 3.40
Er 0.9505 0.6922 0.7978  6 Tm 3.18-3.54, 2 Sm 3.31-3.41, 1 Sc 3.40
Er 0.5495 0.2022 0.3078  6 Tm 3.18-3.54, 2 Sm 3.31-3.41, 1 Sc 3.40
Sm 0.2500 0.9749 0.0251  4 Er 3.31-3.41, 4 Tm 3.49-3.60
Sm 0.7500 0.0251 0.9749  4 Er 3.31-3.41, 4 Tm 3.49-3.60

Output
As for the space group: No. 15. For the size of the total moment, the calculation gives 0.0 μB/cell. The energy of formation from the pure elements comes out at 130 meV/atom. As for the energy: -45.70 eV per formula unit.


4.
VASP calculation (PBE-GGA) on a geometry-optimized Sm2ErTm4Sc structure.

abc: 4.9568 4.9576 11.0211
angles: 63.28 90.00 90.00
With the nearest neighbours (Å) after each atom.
Element x y z (fractional)
Sc 0.0000 0.5000 0.5000  8 Tm 3.46-3.47, 4 Sm 3.51
Er 0.5000 0.5000 0.0000  4 Sm 3.51, 8 Tm 3.52
Tm 0.5000 0.7453 0.2541  4 Sm 3.46-3.52, 2 Sc 3.46, 4 Tm 3.51, 2 Er 3.52
Tm 0.0000 0.7546 0.7460  2 Sc 3.46-3.47, 4 Sm 3.47-3.52, 4 Tm 3.51, 2 Er 3.52
Tm 0.5000 0.2547 0.7459  4 Sm 3.46-3.52, 2 Sc 3.46, 4 Tm 3.51, 2 Er 3.52
Tm 0.0000 0.2454 0.2540  2 Sc 3.46-3.47, 4 Sm 3.47-3.52, 4 Tm 3.51, 2 Er 3.52
Sm 0.5000 0.0000 0.5000  8 Tm 3.46-3.47, 4 Sc 3.51
Sm 0.0000 0.0000 0.0000  4 Er 3.51, 8 Tm 3.52

Output
As for the space group: No. 123. For the size of the total moment, the calculation gives 0.0 μB/cell. The energy of formation from the pure elements comes out at 36 meV/atom. As for the energy: -37.93 eV per formula unit.